1.
# IrAuNF (PBE, relaxed)
# polymorph energy (0 for the lowest one): 0.000 eV/f.u.
# ΔE_f (raw): -0.085 eV per atom
# ρ: 11682 kg/m3
# total DFT energy (no corrections): -22.676 eV per cell
# symmetry: No. 8
data_IrAuNF
_space_group_name_H-M_alt 'P 1'
_space_group_IT_number 1
_cell_length_a 3.230
_cell_length_b 3.230
_cell_length_c 6.928
_cell_angle_alpha 104.34
_cell_angle_beta 104.34
_cell_angle_gamma 60.03
loop_
_space_group_symop_operation_xyz
'x,y,z'
loop_
_atom_site_label
_atom_site_type_symbol
_atom_site_fract_x
_atom_site_fract_y
_atom_site_fract_z
_atom_site_occupancy
Ir1 Ir 0.000 0.000 0.000 1
Au1 Au 0.231 0.231 0.709 1
N1 N 0.698 0.698 0.088 1
F1 F 0.488 0.488 0.494 1


2.
# MgNiAuSe (PBE, relaxed)
# polymorph energy (0 for the lowest one): 0.158 eV/f.u.
# DOS(E_F): 1.843 states/eV/cell
# ΔE_f (raw): -0.311 eV per atom
# ρ: 7704 kg/m3
# total DFT energy (no corrections): -15.380 eV per cell
# symmetry: No. 8
data_MgNiAuSe
_space_group_name_H-M_alt 'P 1'
_space_group_IT_number 1
_cell_length_a 4.398
_cell_length_b 4.398
_cell_length_c 4.619
_cell_angle_alpha 93.75
_cell_angle_beta 93.75
_cell_angle_gamma 60.28
loop_
_space_group_symop_operation_xyz
'x,y,z'
loop_
_atom_site_label
_atom_site_type_symbol
_atom_site_fract_x
_atom_site_fract_y
_atom_site_fract_z
_atom_site_occupancy
Mg1 Mg 0.000 0.000 0.000 1
Ni1 Ni 0.646 0.646 0.757 1
Au1 Au 0.311 0.311 0.676 1
Se1 Se 0.692 0.692 0.263 1


3.
# Nd3Sm4Er5 (PBE, relaxed)
# polymorph energy (0 for the lowest one): 2.496 eV/f.u.
# DOS(E_F): 18.819 states/eV/cell
# energy of formation from the pure elements: 225 meV/atom
# ρ: 7734 kg/m3
# total DFT energy (no corrections): -53.294 eV per cell
# symmetry: No. 12
data_Nd3Sm4Er5
_space_group_name_H-M_alt 'P 1'
_space_group_IT_number 1
_cell_length_a 8.566
_cell_length_b 8.566
_cell_length_c 9.348
_cell_angle_alpha 114.45
_cell_angle_beta 114.45
_cell_angle_gamma 40.74
loop_
_space_group_symop_operation_xyz
'x,y,z'
loop_
_atom_site_label
_atom_site_type_symbol
_atom_site_fract_x
_atom_site_fract_y
_atom_site_fract_z
_atom_site_occupancy
Nd1 Nd 0.000 0.000 0.000 1
Nd2 Nd 0.290 0.290 0.766 1
Nd3 Nd 0.710 0.710 0.234 1
Sm1 Sm 0.290 0.290 0.119 1
Sm2 Sm 0.416 0.416 0.555 1
Sm3 Sm 0.584 0.584 0.445 1
Sm4 Sm 0.710 0.710 0.881 1
Er1 Er 0.071 0.071 0.697 1
Er2 Er 0.172 0.172 0.386 1
Er3 Er 0.500 0.500 0.000 1
Er4 Er 0.828 0.828 0.614 1
Er5 Er 0.929 0.929 0.303 1


4.
# Bi4PbS7 (PBE, relaxed)
# ΔE_f (raw): -0.369 eV per atom
# ρ: 6432 kg/m3
# total DFT energy (no corrections): -52.552 eV per cell
# symmetry: No. 8
data_Bi4PbS7
_space_group_name_H-M_alt 'P 1'
_space_group_IT_number 1
_cell_length_a 7.275
_cell_length_b 7.275
_cell_length_c 11.861
_cell_angle_alpha 102.44
_cell_angle_beta 102.44
_cell_angle_gamma 32.34
loop_
_space_group_symop_operation_xyz
'x,y,z'
loop_
_atom_site_label
_atom_site_type_symbol
_atom_site_fract_x
_atom_site_fract_y
_atom_site_fract_z
_atom_site_occupancy
Bi1 Bi 0.000 0.000 0.000 1
Bi2 Bi 0.194 0.194 0.721 1
Bi3 Bi 0.518 0.518 0.325 1
Bi4 Bi 0.903 0.903 0.595 1
Pb1 Pb 0.747 0.747 0.134 1
S1 S 0.126 0.126 0.216 1
S2 S 0.267 0.267 0.532 1
S3 S 0.399 0.399 0.108 1
S4 S 0.561 0.561 0.590 1
S5 S 0.601 0.601 0.917 1
S6 S 0.828 0.828 0.802 1
S7 S 0.895 0.895 0.361 1


Question: Among the records above, which one has the highest total DFT energy (no corrections)?
Answer: MgNiAuSe


Question: total DFT energy (no corrections) of number 1 (IrAuNF)?
Answer: -22.676 eV per cell


Question: The highest ρ belongs to which entry?
Answer: IrAuNF